The following is a DFT calculation (GGA-PBE) of crystalline DyCdInO3 at its relaxed geometry.

Calculated values
Final energy: -5.056 eV per atom

The structure in CIF format:
```
data_DyCdInO3
_chemical_formula_sum 'Dy4 Cd4 In4 O12'
_symmetry_space_group_name_H-M 'C m c m'
_symmetry_Int_Tables_number 63
_symmetry_space_group_name_Hall '-C 2c 2'
_cell_length_a 3.2574
_cell_length_b 17.6172
_cell_length_c 7.0996
_cell_angle_alpha 90.00
_cell_angle_beta 90.00
_cell_angle_gamma 90.00
loop_
_atom_site_label
_atom_site_fract_x
_atom_site_fract_y
_atom_site_fract_z
Dy1 0.0000 0.0000 0.0000
Cd1 0.0000 0.3432 0.2500
In1 0.0000 0.3501 0.7500
O1 0.0000 0.1187 0.5367
O2 0.0000 0.2227 0.2500
```

***

The following is a DFT calculation (GGA-PBE) of crystalline Pr2DyZn3CdIn2 at its relaxed geometry.

Calculated values
Final energy: -3.059 eV per atom

The structure in CIF format:
```
data_Pr2DyZn3CdIn2
_chemical_formula_sum 'Pr4 Dy2 Zn6 Cd2 In4'
_symmetry_space_group_name_H-M 'A m m 2'
_symmetry_Int_Tables_number 38
_cell_length_a 4.6604
_cell_length_b 12.5882
_cell_length_c 7.4024
_cell_angle_alpha 90.00
_cell_angle_beta 90.00
_cell_angle_gamma 90.00
loop_
_symmetry_equiv_pos_as_xyz
'x,y,z'
'-x,-y,z'
'-x,y,z'
'x,-y,z'
'x,y+1/2,z+1/2'
'-x,-y+1/2,z+1/2'
'-x,y+1/2,z+1/2'
'x,-y+1/2,z+1/2'
loop_
_atom_site_label
_atom_site_fract_x
_atom_site_fract_y
_atom_site_fract_z
Pr1 0.0000 0.2106 0.0000
Dy1 0.0000 0.0000 0.3631
Zn1 0.5000 0.0000 0.0182
Zn2 0.5000 0.1171 0.6690
Cd1 0.0000 0.0000 0.7750
In1 0.5000 0.1626 0.2892
```

***

The following is a DFT calculation (GGA-PBE) of crystalline Tb2DyCd3In3 at its relaxed geometry.

Calculated values
Final energy: -3.165 eV per atom

The structure in CIF format:
```
data_Tb2DyCd3In3
_chemical_formula_sum 'Tb4 Dy2 Cd6 In6'
_symmetry_space_group_name_H-M 'A m m 2'
_symmetry_Int_Tables_number 38
_cell_length_a 4.6280
_cell_length_b 13.0061
_cell_length_c 7.5199
_cell_angle_alpha 90.00
_cell_angle_beta 90.00
_cell_angle_gamma 90.00
loop_
_symmetry_equiv_pos_as_xyz
'x,y,z'
'-x,-y,z'
'-x,y,z'
'x,-y,z'
'x,y+1/2,z+1/2'
'-x,-y+1/2,z+1/2'
'-x,y+1/2,z+1/2'
'x,-y+1/2,z+1/2'
loop_
_atom_site_label
_atom_site_fract_x
_atom_site_fract_y
_atom_site_fract_z
Tb1 0.0000 0.2168 0.0000
Dy1 0.0000 0.0000 0.6507
Cd1 0.5000 0.0000 0.9709
Cd2 0.5000 0.1230 0.3399
In1 0.0000 0.0000 0.2175
In2 0.5000 0.1663 0.7168
```

***

The following is a DFT calculation (GGA-PBE) of crystalline Dy2TmCd3In3 at its relaxed geometry.

Calculated values
Final energy: -3.122 eV per atom

The structure in CIF format:
```
data_Dy2TmCd3In3
_chemical_formula_sum 'Dy4 Tm2 Cd6 In6'
_symmetry_space_group_name_H-M 'A m m 2'
_symmetry_Int_Tables_number 38
_cell_length_a 4.6129
_cell_length_b 12.9230
_cell_length_c 7.4941
_cell_angle_alpha 90.00
_cell_angle_beta 90.00
_cell_angle_gamma 90.00
loop_
_symmetry_equiv_pos_as_xyz
'x,y,z'
'-x,-y,z'
'-x,y,z'
'x,-y,z'
'x,y+1/2,z+1/2'
'-x,-y+1/2,z+1/2'
'-x,y+1/2,z+1/2'
'x,-y+1/2,z+1/2'
loop_
_atom_site_label
_atom_site_fract_x
_atom_site_fract_y
_atom_site_fract_z
Dy1 0.0000 0.2172 0.0000
Tm1 0.0000 0.0000 0.3478
Cd1 0.5000 0.0000 0.0284
Cd2 0.5000 0.1231 0.6595
In1 0.0000 0.0000 0.7808
In2 0.5000 0.1657 0.2829
```

***

The following is a DFT calculation (GGA-PBE) of crystalline DyTm2Cd4In2 at its relaxed geometry.

Calculated values
Final energy: -2.880 eV per atom

The structure in CIF format:
```
data_DyTm2Cd4In2
_chemical_formula_sum 'Dy2 Tm4 Cd8 In4'
_symmetry_space_group_name_H-M 'A m m 2'
_symmetry_Int_Tables_number 38
_cell_length_a 4.5925
_cell_length_b 12.9212
_cell_length_c 7.4161
_cell_angle_alpha 90.00
_cell_angle_beta 90.00
_cell_angle_gamma 90.00
loop_
_symmetry_equiv_pos_as_xyz
'x,y,z'
'-x,-y,z'
'-x,y,z'
'x,-y,z'
'x,y+1/2,z+1/2'
'-x,-y+1/2,z+1/2'
'-x,y+1/2,z+1/2'
'x,-y+1/2,z+1/2'
loop_
_atom_site_label
_atom_site_fract_x
_atom_site_fract_y
_atom_site_fract_z
Dy1 0.0000 0.0000 0.0000
Tm1 0.0000 0.2146 0.6431
Cd1 0.0000 0.0000 0.4319
Cd2 0.5000 0.0000 0.6726
Cd3 0.5000 0.1210 0.3079
In1 0.5000 0.1677 0.9288
```

***

The following is a DFT calculation (GGA-PBE) of crystalline DyCdIr at its relaxed geometry.

Calculated values
Final energy: -4.722 eV per atom
ΔH_f (0 K): 0.06 eV per atom

The structure in CIF format:
```
data_DyCdIr
_chemical_formula_sum 'Dy4 Cd4 Ir4'
_symmetry_space_group_name_H-M 'F -4 3 m'
_symmetry_Int_Tables_number 216
_symmetry_space_group_name_Hall 'F -4 2 3'
_cell_length_a 6.5310
_cell_length_b 6.5310
_cell_length_c 6.5310
_cell_angle_alpha 90.00
_cell_angle_beta 90.00
_cell_angle_gamma 90.00
loop_
_atom_site_label
_atom_site_fract_x
_atom_site_fract_y
_atom_site_fract_z
Dy1 0.0000 0.0000 0.0000
Cd1 0.2500 0.2500 0.2500
Ir1 0.0000 0.0000 0.5000
```

***

The following is a DFT calculation (GGA-PBE) of crystalline Dy2CdIr2 at its relaxed geometry.

Calculated values
Final energy: -6.244 eV per atom
ΔH_f (0 K): -0.68 eV per atom

The structure in CIF format:
```
data_Dy2CdIr2
_chemical_formula_sum 'Dy8 Cd4 Ir8'
_symmetry_space_group_name_H-M 'C 1 2/c 1'
_symmetry_Int_Tables_number 15
_cell_length_a 10.1797
_cell_length_b 5.4116
_cell_length_c 8.3241
_cell_angle_alpha 90.00
_cell_angle_beta 109.24
_cell_angle_gamma 90.00
loop_
_symmetry_equiv_pos_as_xyz
'x,y,z'
'-x,-y,-z'
'-x,y,-z+1/2'
'x,-y,z+1/2'
'x+1/2,y+1/2,z'
'-x+1/2,-y+1/2,-z'
'-x+1/2,y+1/2,-z+1/2'
'x+1/2,-y+1/2,z+1/2'
loop_
_atom_site_label
_atom_site_fract_x
_atom_site_fract_y
_atom_site_fract_z
Dy1 0.1450 0.1619 0.1477
Cd1 0.0000 0.3352 0.7500
Ir1 0.1424 0.3405 0.5185
```

***

The following is a DFT calculation (GGA-PBE) of crystalline LaDy2Cd3Ir2Pt at its relaxed geometry.

Calculated values
Final energy: -5.170 eV per atom
ΔH_f (0 K): -0.66 eV per atom

The structure in CIF format:
```
data_LaDy2Cd3Ir2Pt
_chemical_formula_sum 'La2 Dy4 Cd6 Ir4 Pt2'
_symmetry_space_group_name_H-M 'A m m 2'
_symmetry_Int_Tables_number 38
_cell_length_a 4.0085
_cell_length_b 13.0151
_cell_length_c 7.5764
_cell_angle_alpha 90.00
_cell_angle_beta 90.00
_cell_angle_gamma 90.00
loop_
_symmetry_equiv_pos_as_xyz
'x,y,z'
'-x,-y,z'
'-x,y,z'
'x,-y,z'
'x,y+1/2,z+1/2'
'-x,-y+1/2,z+1/2'
'-x,y+1/2,z+1/2'
'x,-y+1/2,z+1/2'
loop_
_atom_site_label
_atom_site_fract_x
_atom_site_fract_y
_atom_site_fract_z
La1 0.0000 0.0000 0.0000
Dy1 0.0000 0.2044 0.6155
Cd1 0.5000 0.0000 0.6646
Cd2 0.5000 0.1293 0.2871
Ir1 0.5000 0.1685 0.9135
Pt1 0.0000 0.0000 0.4180
```

***

The following is a DFT calculation (GGA-PBE) of crystalline Dy3Mg3Cd2Ir at its relaxed geometry.

Calculated values
Final energy: -3.589 eV per atom

The structure in CIF format:
```
data_Dy3Mg3Cd2Ir
_chemical_formula_sum 'Dy3 Mg3 Cd2 Ir1'
_symmetry_space_group_name_H-M 'P -6 2 m'
_symmetry_Int_Tables_number 189
_symmetry_space_group_name_Hall 'P -6 -2'
_cell_length_a 7.5046
_cell_length_b 7.5046
_cell_length_c 4.4302
_cell_angle_alpha 90.00
_cell_angle_beta 90.00
_cell_angle_gamma 120.00
loop_
_atom_site_label
_atom_site_fract_x
_atom_site_fract_y
_atom_site_fract_z
Dy1 0.0000 0.6154 0.0000
Mg1 0.0000 0.2302 0.5000
Cd1 0.3333 0.6667 0.5000
Ir1 0.0000 0.0000 0.0000
```

***

The following is a DFT calculation (GGA-PBE) of crystalline NdDy2Cd3Ir2Pt at its relaxed geometry.

Calculated values
Final energy: -5.141 eV per atom
ΔH_f (0 K): -0.65 eV per atom

The structure in CIF format:
```
data_NdDy2Cd3Ir2Pt
_chemical_formula_sum 'Nd2 Dy4 Cd6 Ir4 Pt2'
_symmetry_space_group_name_H-M 'A m m 2'
_symmetry_Int_Tables_number 38
_cell_length_a 3.9833
_cell_length_b 13.0780
_cell_length_c 7.5190
_cell_angle_alpha 90.00
_cell_angle_beta 90.00
_cell_angle_gamma 90.00
loop_
_symmetry_equiv_pos_as_xyz
'x,y,z'
'-x,-y,z'
'-x,y,z'
'x,-y,z'
'x,y+1/2,z+1/2'
'-x,-y+1/2,z+1/2'
'-x,y+1/2,z+1/2'
'x,-y+1/2,z+1/2'
loop_
_atom_site_label
_atom_site_fract_x
_atom_site_fract_y
_atom_site_fract_z
Nd1 0.0000 0.0000 0.0000
Dy1 0.0000 0.2037 0.3871
Cd1 0.5000 0.0000 0.3333
Cd2 0.5000 0.1287 0.7187
Ir1 0.5000 0.1701 0.0923
Pt1 0.0000 0.0000 0.5858
```

***

The following is a DFT calculation (GGA-PBE) of crystalline Tb2DyCd3Ir2Pt at its relaxed geometry.

Calculated values
Final energy: -5.146 eV per atom
ΔH_f (0 K): -0.67 eV per atom

The structure in CIF format:
```
data_Tb2DyCd3Ir2Pt
_chemical_formula_sum 'Tb4 Dy2 Cd6 Ir4 Pt2'
_symmetry_space_group_name_H-M 'A m m 2'
_symmetry_Int_Tables_number 38
_cell_length_a 3.9478
_cell_length_b 12.9967
_cell_length_c 7.5059
_cell_angle_alpha 90.00
_cell_angle_beta 90.00
_cell_angle_gamma 90.00
loop_
_symmetry_equiv_pos_as_xyz
'x,y,z'
'-x,-y,z'
'-x,y,z'
'x,-y,z'
'x,y+1/2,z+1/2'
'-x,-y+1/2,z+1/2'
'-x,y+1/2,z+1/2'
'x,-y+1/2,z+1/2'
loop_
_atom_site_label
_atom_site_fract_x
_atom_site_fract_y
_atom_site_fract_z
Tb1 0.0000 0.2036 0.0000
Dy1 0.0000 0.0000 0.3896
Cd1 0.5000 0.0000 0.0552
Cd2 0.5000 0.1295 0.6670
Ir1 0.5000 0.1661 0.2967
Pt1 0.0000 0.0000 0.7958
```

***

The following is a DFT calculation (GGA-PBE) of crystalline Dy2YCd3Ir2Pt at its relaxed geometry.

Calculated values
Final energy: -5.345 eV per atom
ΔH_f (0 K): -0.66 eV per atom

The structure in CIF format:
```
data_Dy2YCd3Ir2Pt
_chemical_formula_sum 'Dy4 Y2 Cd6 Ir4 Pt2'
_symmetry_space_group_name_H-M 'A m m 2'
_symmetry_Int_Tables_number 38
_cell_length_a 3.9357
_cell_length_b 13.0167
_cell_length_c 7.4923
_cell_angle_alpha 90.00
_cell_angle_beta 90.00
_cell_angle_gamma 90.00
loop_
_symmetry_equiv_pos_as_xyz
'x,y,z'
'-x,-y,z'
'-x,y,z'
'x,-y,z'
'x,y+1/2,z+1/2'
'-x,-y+1/2,z+1/2'
'-x,y+1/2,z+1/2'
'x,-y+1/2,z+1/2'
loop_
_atom_site_label
_atom_site_fract_x
_atom_site_fract_y
_atom_site_fract_z
Dy1 0.0000 0.2044 0.0000
Y1 0.0000 0.0000 0.6132
Cd1 0.5000 0.0000 0.9454
Cd2 0.5000 0.1285 0.3337
Ir1 0.5000 0.1679 0.7052
Pt1 0.0000 0.0000 0.2030
```